[1]
Material: InRu3N
Method: DFT, PBE
State: optimized geometry

a b c (Å): 4.0971 4.0971 4.0971
angles (deg): 90.00 90.00 90.00
Last column: nearest neighbours and their distance in Å.
Space group Pm-3m (No. 221)
Asymmetric unit:
In: 0.0000 0.0000 0.0000  12 Ru 2.90
Ru: 0.0000 0.5000 0.5000  2 N 2.05
N: 0.5000 0.5000 0.5000  6 Ru 2.05

Output
As for the calculated density: 10.4 Mg/m³. The value obtained for the energy relative to the elements, uncorrected is 0.10 eV per atom. The calculation puts the volume at 13.76 A^3/atom.

[2]
Material: Ba7Sr4Ca
Method: DFT, PBE
State: optimized geometry

a b c (Å): 14.8214 6.9837 14.0490
angles (deg): 90.00 100.33 90.00
Last column: nearest neighbours and their distance in Å.
Space group C2/m (No. 12)
Asymmetric unit:
Ba: 0.0000 0.0000 0.0000  2 Ca 3.49
Ba: 0.1030 0.0000 0.6182  5 Ba 4.09-4.22, 3 Sr 4.17-4.28
Ba: 0.1362 0.5000 0.4609  5 Sr 4.19-4.62, 4 Ba 4.21-4.37
Ba: 0.2436 0.0000 0.9074  1 Ca 3.79, 2 Ba 4.05-4.22
Sr: 0.0820 0.5000 0.7749  1 Ca 3.59
Sr: 0.1490 0.0000 0.2738  5 Ba 4.08-4.45, 1 Sr 4.16
Ca: 0.0000 0.5000 0.0000  4 Ba 3.49-3.79, 2 Sr 3.59

Output
As for the calculated density: 3.1 Mg/m³. The formation energy is 142 meV/atom. The calculation puts the volume at 59.61 A^3/atom.

[3]
Material: ZrFe2Re
Method: DFT, PBE
State: optimized geometry

a b c (Å): 2.7682 3.6564 5.7363
angles (deg): 90.00 90.00 90.00
Last column: nearest neighbours and their distance in Å.
Space group Pmmm (No. 47)
Asymmetric unit:
Zr: 0.0000 0.0000 0.0000  2 Zr 2.77, 8 Fe 2.82, 2 Re 2.87
Fe: 0.5000 0.5000 0.2870  1 Fe 2.44, 4 Re 2.60
Re: 0.0000 0.0000 0.5000  8 Fe 2.60, 2 Re 2.77, 2 Zr 2.87

Output
As for the calculated density: 11.1 Mg/m³. The formation energy is 137 meV/atom. The calculation puts the volume at 14.52 A^3/atom.

[4]
Material: Zn2InCo
Method: DFT, PBE
State: optimized geometry

a b c (Å): 3.1102 3.1102 6.4329
angles (deg): 90.00 90.00 90.00
Last column: nearest neighbours and their distance in Å.
Space group P4mm (No. 99)
Asymmetric unit:
Zn: 0.0000 0.0000 0.0000  4 Zn 2.66, 1 Co 2.69
Zn: 0.5000 0.5000 0.2315  4 Co 2.50, 4 Zn 2.66
In: 0.5000 0.5000 0.6752  4 Co 2.75, 5 Zn 2.85-3.03
Co: 0.0000 0.0000 0.4178  5 Zn 2.50-2.69, 4 In 2.75

Output
As for the calculated density: 8.1 Mg/m³. The formation energy is 97 meV/atom. The calculation puts the volume at 15.56 A^3/atom.

[5]
Material: Pr5Os2Pt
Method: DFT, PBE
State: optimized geometry

a b c (Å): 7.7629 7.7629 14.3007
angles (deg): 90.00 90.00 90.00
Last column: nearest neighbours and their distance in Å.
Space group I4/mcm (No. 140)
Asymmetric unit:
Pr: 0.0000 0.0000 0.0000  4 Os 3.11
Pr: 0.1778 0.3222 0.1403  3 Os 3.03-3.07, 2 Pt 3.26
Os: 0.1159 0.3841 0.5000  1 Os 2.54
Pt: 0.0000 0.0000 0.2500  10 Pr 3.26-3.58

Output
As for the calculated density: 9.9 Mg/m³. The formation energy is -311 meV/atom. The calculation puts the volume at 26.93 A^3/atom.

[6]
Material: Dy2Tm2Hg7
Method: DFT, PBE
State: optimized geometry

a b c (Å): 10.1839 10.6761 5.9254
angles (deg): 90.00 120.33 90.00
Last column: nearest neighbours and their distance in Å.
Space group C2/m (No. 12)
Asymmetric unit:
Dy: 0.1470 0.0000 0.3784  8 Hg 3.02-3.29
Tm: 0.0000 0.3383 0.0000  8 Hg 3.09-3.43, 1 Tm 3.45
Hg: 0.0000 0.5000 0.5000  6 Hg 3.00-3.11, 2 Dy 3.29
Hg: 0.1705 0.2572 0.6625  5 Hg 3.00-3.30, 1 Tm 3.09, 2 Dy 3.17-3.27
Hg: 0.2175 0.0000 0.9392  3 Dy 3.02-3.20, 5 Hg 3.11-3.30, 2 Tm 3.22

Output
As for the calculated density: 12.3 Mg/m³. The formation energy is -282 meV/atom. The calculation puts the volume at 25.28 A^3/atom.

[7]
Material: Ac4SiBiCl2
Method: DFT, PBE
State: optimized geometry

a b c (Å): 7.5117 4.6136 8.3299
angles (deg): 90.00 110.43 90.00
Last column: nearest neighbours and their distance in Å.
Space group P2/m (No. 10)
Asymmetric unit:
Ac: 0.2385 0.0000 0.2233  2 Si 3.11, 3 Cl 3.14-3.37, 1 Bi 3.38
Ac: 0.2503 0.5000 0.7779  1 Si 3.06, 2 Cl 3.14, 2 Bi 3.34
Si: 0.0000 0.5000 0.0000  6 Ac 3.06-3.11
Bi: 0.0000 0.0000 0.5000  6 Ac 3.34-3.38
Cl: 0.5000 0.0000 0.0000  6 Ac 3.14
Cl: 0.5000 0.5000 0.5000  6 Ac 3.37-3.45

Output
As for the calculated density: 7.5 Mg/m³. The value obtained for the energy relative to the elements, uncorrected is -1.19 eV per atom. The calculation puts the volume at 33.82 A^3/atom.

[8]
Material: CaNdHg2
Method: DFT, PBE
State: optimized geometry

a b c (Å): 5.3993 5.3993 3.8117
angles (deg): 90.00 90.00 90.00
Last column: nearest neighbours and their distance in Å.
Space group P4/mmm (No. 123)
Asymmetric unit:
Ca: 0.0000 0.0000 0.0000  8 Hg 3.30
Nd: 0.5000 0.5000 0.0000  8 Hg 3.30
Hg: 0.0000 0.5000 0.5000  4 Nd 3.30, 4 Ca 3.30

Output
As for the calculated density: 8.7 Mg/m³. The formation energy is -535 meV/atom. The calculation puts the volume at 27.78 A^3/atom.

[9]
Material: In2SeCl
Method: DFT, PBE
State: optimized geometry

a b c (Å): 3.8810 3.8228 7.7078
angles (deg): 90.00 96.28 90.00
Last column: nearest neighbours and their distance in Å.
Space group P2/m (No. 10)
Asymmetric unit:
In: 0.0258 0.0000 0.2096  2 Cl 2.95, 4 Se 3.12-3.21, 1 In 3.22
Se: 0.5000 0.5000 0.0000  8 In 3.12-3.21
Cl: 0.0000 0.5000 0.5000  4 In 2.95

Output
As for the calculated density: 5.0 Mg/m³. The value obtained for the energy relative to the elements, uncorrected is -0.44 eV per atom. The calculation puts the volume at 28.42 A^3/atom.

[10]
Material: YHfB2Au
Method: DFT, PBE
State: optimized geometry

a b c (Å): 4.4543 4.4543 5.1166
angles (deg): 90.00 90.00 90.00
Last column: nearest neighbours and their distance in Å.
Space group P4/mmm (No. 123)
Asymmetric unit:
Y: 0.0000 0.0000 0.0000  4 Au 3.15, 8 B 3.39
Hf: 0.5000 0.5000 0.5000  4 B 2.23
B: 0.0000 0.5000 0.5000  2 Hf 2.23
Au: 0.5000 0.5000 0.0000  2 Hf 2.56

Output
As for the calculated density: 7.9 Mg/m³. The formation energy is 606 meV/atom. The calculation puts the volume at 20.30 A^3/atom.

[11]
Material: Na2Cd2Hg
Method: DFT, PBE
State: optimized geometry

a b c (Å): 4.4890 4.4890 14.5270
angles (deg): 90.00 90.00 90.00
Last column: nearest neighbours and their distance in Å.
Space group I4/mmm (No. 139)
Asymmetric unit:
Na: 0.0000 0.5000 0.2500  4 Cd 3.17, 4 Na 3.17
Cd: 0.0000 0.0000 0.0956  1 Cd 2.78
Hg: 0.0000 0.0000 0.5000  8 Cd 3.46

Output
As for the calculated density: 5.3 Mg/m³. The formation energy is 58 meV/atom. The calculation puts the volume at 29.27 A^3/atom.

[12]
Material: LaOsPb2
Method: DFT, PBE
State: optimized geometry

a b c (Å): 5.2040 5.2040 7.4422
angles (deg): 90.00 90.00 90.00
Last column: nearest neighbours and their distance in Å.
Space group I-4m2 (No. 119)
Asymmetric unit:
La: 0.0000 0.0000 0.0000  4 Pb 3.20, 4 Os 3.20
Os: 0.0000 0.5000 0.7500  4 La 3.20, 4 Pb 3.20
Pb: 0.0000 0.0000 0.5000  4 Pb 3.20, 4 Os 3.20
Pb: 0.0000 0.5000 0.2500  4 La 3.20, 4 Pb 3.20

Output
As for the calculated density: 12.3 Mg/m³. The formation energy is 322 meV/atom. The calculation puts the volume at 25.19 A^3/atom.